# 1
VASP calculation (PBE) on crystalline TiTcBiO6 at its relaxed geometry.

Unit cell a=4.8738 b=4.8738 c=9.6101 alpha=90.00 beta=90.00 gamma=90.00
Positions (direct):
Ti1 0.0000 0.0000 0.0000
Ti2 0.5000 0.5000 0.5000
Tc1 0.0000 0.0000 0.3368
Tc2 0.5000 0.5000 0.8368
Bi1 0.0000 0.0000 0.6696
Bi2 0.5000 0.5000 0.1696
O1 0.1708 0.1708 0.1676
O2 0.2101 0.2101 0.4750
O3 0.2120 0.2120 0.8571
O4 0.2880 0.7120 0.3571
O5 0.2899 0.7101 0.9750
O6 0.3292 0.6708 0.6676
O7 0.6708 0.3292 0.6676
O8 0.7101 0.2899 0.9750
O9 0.7120 0.2880 0.3571
O10 0.7880 0.7880 0.8571
O11 0.7899 0.7899 0.4750
O12 0.8292 0.8292 0.1676

Summary:
Energy relative to the elements, uncorrected, meV per atom: -1786.0

---

# 2
VASP calculation (PBE) on crystalline AlCr2Co at its relaxed geometry.

Unit cell a=2.5149 b=3.9306 c=4.7966 alpha=90.00 beta=90.00 gamma=90.00
Positions (direct):
Al1 0.0000 0.0000 0.0000
Cr1 0.5000 0.5000 0.2514
Cr2 0.5000 0.5000 0.7486
Co1 0.0000 0.0000 0.5000

Summary:
Formation energy, eV/atom: -0.01